The following is a GGA-PBE calculation of crystalline SrZn2GaAg5 at its relaxed geometry, from Alexandria via LeMat-Bulk.

The space group is P4/mmm (No. 123) and the conventional cell measures 5.0618, 5.0618 and 7.5069 Å, with angles of 90.00, 90.00 and 90.00 degrees. The inequivalent atoms are Sr at (0.0000, 0.0000, 0.0000), Zn at (0.5000, 0.5000, 0.3390), Ga at (0.0000, 0.0000, 0.5000), Ag at (0.0000, 0.5000, 0.2925) and Ag at (0.5000, 0.5000, 0.0000).

The calculation puts the density of states at the Fermi level at 3.40 states/eV/cell. For the energy, the calculation gives -0.17337 Ry/atom.